Record 1
A relaxed structure of TbYTe2. Source: the Open Quantum Materials Database, functional PBE-GGA.

The value obtained for the energy relative to the lowest polymorph listed for this composition is 0 meV per atom. As for the space group: P-3m1, No. 164.

Cell: 4.2528 4.2528 7.6003 Å, 90.00 90.00 120.00°
With the nearest neighbours (Å) after each atom.
Element x y z (fractional)
Y (0.0000, 0.0000, 0.0000)  6 Te 3.10
Te (0.3333, 0.6667, 0.2491)  3 Y 3.10, 3 Tb 3.11
Te (0.6667, 0.3333, 0.7509)  3 Y 3.10, 3 Tb 3.11
Tb (0.0000, 0.0000, 0.5000)  6 Te 3.11

---

Record 2
A relaxed structure of HfRe2Os. Source: the Open Quantum Materials Database, functional PBE-GGA.

For the final energy, the calculation gives -46.0 eV for the cell shown. As for the space group: F-43m, No. 216.

Cell: 4.4868 4.4868 4.4868 Å, 60.00 60.00 60.00°
With the nearest neighbours (Å) after each atom.
Element x y z (fractional)
Re (0.2500, 0.2500, 0.2500)  4 Hf 2.75, 4 Re 2.75
Re (0.0000, 0.0000, 0.0000)  4 Re 2.75, 4 Os 2.75
Hf (0.5000, 0.5000, 0.5000)  4 Re 2.75, 4 Os 2.75
Os (0.7500, 0.7500, 0.7500)  4 Hf 2.75, 4 Re 2.75

---

Record 3
A relaxed structure of SrScAuS3. Source: the Open Quantum Materials Database, functional PBE-GGA.

The value obtained for the energy relative to the lowest polymorph listed for this composition is 0 meV per atom. As for the space group: P2_1/m, No. 11.

Cell: 7.6051 3.8938 9.2238 Å, 90.00 106.73 90.00°
With the nearest neighbours (Å) after each atom.
Element x y z (fractional)
S (0.1885, 0.2500, 0.4533)  2 Au 2.53, 1 Sc 2.71
Sc (0.8179, 0.7500, 0.8421)  6 S 2.56-2.71
S (0.9380, 0.7500, 0.1320)  3 Sc 2.56-2.65
S (0.8115, 0.7500, 0.5467)  2 Au 2.53, 1 Sc 2.71
S (0.0620, 0.2500, 0.8680)  3 Sc 2.56-2.65
Sr (0.7371, 0.2500, 0.2725)  6 S 2.99-3.11, 1 Au 3.32
S (0.5832, 0.2500, 0.8530)  1 Au 2.49, 2 Sc 2.66
Sr (0.2629, 0.7500, 0.7275)  6 S 2.99-3.11, 1 Au 3.32
S (0.4168, 0.7500, 0.1470)  1 Au 2.49, 2 Sc 2.66
Au (0.3772, 0.7500, 0.4061)  3 S 2.49-2.53
Au (0.6228, 0.2500, 0.5939)  3 S 2.49-2.53
Sc (0.1821, 0.2500, 0.1579)  6 S 2.56-2.71